! Ta2AlRu | Alexandria | PBEsol | optimized geometry; values from VASP
&SYSTEM
  ibrav = 0, nat = 4, ntyp = 3
/
ATOMIC_SPECIES
Ru 101.07 Ru.upf
Al 26.98 Al.upf
Ta 180.95 Ta.upf
ATOMIC_POSITIONS angstrom
Ru 0.000 2.175 0.000
Al 1.592 0.000 0.000
Ta 1.592 2.175 2.141
Ta 0.000 0.000 2.376
CELL_PARAMETERS angstrom
3.185 0.000 0.000
0.000 4.351 0.000
-1.592 -2.175 4.517
! - symmetry = Immm
! - V (Å³/cell) = 62.6
! - calculated total energy (eV/atom) = -10.159
! - formation energy from the elements (meV per atom) = -317
! - density of states at the Fermi level (states/eV/f.u.) = 2.841